Entry 1:
{"formula": "TlTe2Se2", "functional": "PBE-GGA", "state": "relaxed", "lattice": [[5.668, 0.000, 0.000], [0.000, 5.668, 0.000], [0.000, 0.000, 11.097]], "species": ["Tl", "Tl", "Te", "Te", "Te", "Te", "Se", "Se", "Se", "Se"], "frac_coords": [[0.000, 0.000, 0.000], [0.500, 0.500, 0.500], [0.000, 0.000, 0.306], [0.000, 0.000, 0.694], [0.500, 0.500, 0.194], [0.500, 0.500, 0.806], [0.000, 0.500, 0.250], [0.000, 0.500, 0.750], [0.500, 0.000, 0.250], [0.500, 0.000, 0.750]], "final_energy_ev_per_atom": -3.135, "density_g_cm3": 5.75, "formation_energy_uncorrected_ev_per_atom": -0.01, "dos_at_fermi_per_ev_cell": 7.18, "vol_a3_per_atom": 35.7, "de_polymorph_kj_per_mol_fu": 0}

Entry 2:
{"formula": "TlTe2Se", "functional": "PBE-GGA", "state": "relaxed", "lattice": [[3.072, 0.000, 0.000], [0.000, 3.072, 0.000], [0.000, 0.000, 14.192]], "species": ["Tl", "Te", "Te", "Se"], "frac_coords": [[0.000, 0.000, 0.000], [0.000, 0.000, 0.465], [0.500, 0.500, 0.765], [0.500, 0.500, 0.171]], "final_energy_ev_per_atom": -2.933, "density_g_cm3": 6.68, "formation_energy_uncorrected_ev_per_atom": 0.10, "dos_at_fermi_per_ev_cell": 1.73, "vol_a3_per_atom": 33.5}